1.
# YTcHg (PBE, relaxed)
data_YTcHg
_cell_length_a 6.662
_cell_length_b 6.662
_cell_length_c 6.662
_cell_angle_alpha 90.00
_cell_angle_beta 90.00
_cell_angle_gamma 90.00
_space_group_name_H-M_alt 'F -4 3 m'
_space_group_IT_number 216
_space_group_name_Hall 'F -4 2 3'
loop_
_atom_site_label
_atom_site_type_symbol
_atom_site_fract_x
_atom_site_fract_y
_atom_site_fract_z
Y1 Y 0.000 0.000 0.000
Tc1 Tc 0.250 0.250 0.250
Hg1 Hg 0.000 0.000 0.500
# Offset from the most stable computed form (eV/atom): 0.369



2.
# Tb3Pm12Pr5 (PBE, relaxed)
data_Tb3Pm12Pr5
_cell_length_a 18.721
_cell_length_b 18.721
_cell_length_c 18.721
_cell_angle_alpha 90.00
_cell_angle_beta 90.00
_cell_angle_gamma 90.00
_space_group_name_H-M_alt 'I a -3 d'
_space_group_IT_number 230
_space_group_name_Hall '-I 4bd 2c 3'
loop_
_atom_site_label
_atom_site_type_symbol
_atom_site_fract_x
_atom_site_fract_y
_atom_site_fract_z
Tb1 Tb 0.000 0.250 0.125
Pm1 Pm 0.011 0.083 0.648
Pr1 Pr 0.000 0.000 0.000
Pr2 Pr 0.000 0.250 0.375
# Raw total energy (eV per cell): -605.26



3.
# ZrAsIrBr2 (PBE, relaxed)
data_ZrAsIrBr2
_cell_length_a 5.000
_cell_length_b 5.000
_cell_length_c 4.854
_cell_angle_alpha 90.00
_cell_angle_beta 90.00
_cell_angle_gamma 90.00
_space_group_name_H-M_alt 'P 4/m m m'
_space_group_IT_number 123
_space_group_name_Hall '-P 4 2'
loop_
_atom_site_label
_atom_site_type_symbol
_atom_site_fract_x
_atom_site_fract_y
_atom_site_fract_z
Zr1 Zr 0.000 0.000 0.000
As1 As 0.500 0.500 0.000
Ir1 Ir 0.500 0.500 0.500
Br1 Br 0.000 0.500 0.500
# Formation energy (no corrections) (kcal/mol of atoms): 13.56
# Offset from the most stable computed form (eV/atom): 0.000



4.
# Na3MgAl (PBE, relaxed)
data_Na3MgAl
_cell_length_a 5.787
_cell_length_b 5.787
_cell_length_c 5.787
_cell_angle_alpha 90.00
_cell_angle_beta 90.00
_cell_angle_gamma 90.00
_space_group_name_H-M_alt 'P m -3 m'
_space_group_IT_number 221
_space_group_name_Hall '-P 4 2 3'
loop_
_atom_site_label
_atom_site_type_symbol
_atom_site_fract_x
_atom_site_fract_y
_atom_site_fract_z
Na1 Na 0.000 0.000 0.500
Mg1 Mg 0.500 0.500 0.500
Al1 Al 0.000 0.000 0.000
# Offset from the most stable computed form (eV/atom): 0.000



5.
# Ta2TeSe (PBE, relaxed)
data_Ta2TeSe
_cell_length_a 3.329
_cell_length_b 3.329
_cell_length_c 6.673
_cell_angle_alpha 90.00
_cell_angle_beta 90.00
_cell_angle_gamma 90.00
_space_group_name_H-M_alt 'P 4/m m m'
_space_group_IT_number 123
_space_group_name_Hall '-P 4 2'
loop_
_atom_site_label
_atom_site_type_symbol
_atom_site_fract_x
_atom_site_fract_y
_atom_site_fract_z
Ta1 Ta 0.000 0.000 0.224
Te1 Te 0.500 0.500 0.500
Se1 Se 0.500 0.500 0.000
# Formation energy (no corrections) (kcal/mol of atoms): 0.99
# Offset from the most stable computed form (eV/atom): 0.416



6.
# KMn2Tl (PBE, relaxed)
data_KMn2Tl
_cell_length_a 3.3115
_cell_length_b 3.3115
_cell_length_c 32.2306
_cell_angle_alpha 90.00
_cell_angle_beta 90.00
_cell_angle_gamma 120.00
_space_group_name_H-M_alt 'R -3 m'
_space_group_IT_number 166
_space_group_name_Hall '-R 3 2"'
loop_
_atom_site_label
_atom_site_type_symbol
_atom_site_fract_x
_atom_site_fract_y
_atom_site_fract_z
K1 K 0.0000 0.0000 0.0000
Mn1 Mn 0.0000 0.0000 0.2377
Tl1 Tl 0.0000 0.0000 0.5000
# Offset from the most stable computed form (eV/atom): 0.287



7.
# YIrW2 (PBE, relaxed)
data_YIrW2
_cell_length_a 7.759
_cell_length_b 7.759
_cell_length_c 5.374
_cell_angle_alpha 90.00
_cell_angle_beta 90.00
_cell_angle_gamma 90.00
_space_group_name_H-M_alt 'I -4 2 d'
_space_group_IT_number 122
_space_group_name_Hall 'I -4 2bw'
loop_
_atom_site_label
_atom_site_type_symbol
_atom_site_fract_x
_atom_site_fract_y
_atom_site_fract_z
Y1 Y 0.000 0.000 0.000
Ir1 Ir 0.000 0.000 0.500
W1 W 0.199 0.250 0.625
# Offset from the most stable computed form (eV/atom): 0.524



8.
# Ce6HOs3 (PBE, relaxed)
data_Ce6HOs3
_cell_length_a 11.352
_cell_length_b 13.691
_cell_length_c 5.402
_cell_angle_alpha 90.00
_cell_angle_beta 90.00
_cell_angle_gamma 90.00
_space_group_name_H-M_alt 'C m c 21'
_space_group_IT_number 36
loop_
_space_group_symop_operation_xyz
'x,y,z'
'-x,-y,z+1/2'
'-x,y,z'
'x,-y,z+1/2'
'x+1/2,y+1/2,z'
'-x+1/2,-y+1/2,z+1/2'
'-x+1/2,y+1/2,z'
'x+1/2,-y+1/2,z+1/2'
loop_
_atom_site_label
_atom_site_type_symbol
_atom_site_fract_x
_atom_site_fract_y
_atom_site_fract_z
Ce1 Ce 0.000 0.080 0.000
Ce2 Ce 0.000 0.265 0.497
Ce3 Ce 0.158 0.447 0.497
Ce4 Ce 0.200 0.278 0.996
H1 H 0.000 0.258 0.028
Os1 Os 0.000 0.398 0.996
Os2 Os 0.139 0.087 0.500
# Offset from the most stable computed form (eV/atom): 0.051



9.
# Na2CoHgBr6 (PBE, relaxed)
data_Na2CoHgBr6
_cell_length_a 7.1872
_cell_length_b 7.1872
_cell_length_c 18.5174
_cell_angle_alpha 90.00
_cell_angle_beta 90.00
_cell_angle_gamma 120.00
_space_group_name_H-M_alt 'R 3'
_space_group_IT_number 146
_space_group_name_Hall 'R 3'
loop_
_atom_site_label
_atom_site_type_symbol
_atom_site_fract_x
_atom_site_fract_y
_atom_site_fract_z
Na1 Na 0.0000 0.0000 0.0000
Na2 Na 0.0000 0.0000 0.4868
Co1 Co 0.0000 0.0000 0.6925
Hg1 Hg 0.0000 0.0000 0.2006
Br1 Br 0.0252 0.4036 0.4350
Br2 Br 0.0698 0.6965 0.2783
# Formation energy (no corrections) (kcal/mol of atoms): -17.14



10.
# Tb6NdY3 (PBE, relaxed)
data_Tb6NdY3
_cell_length_a 11.128
_cell_length_b 19.120
_cell_length_c 6.185
_cell_angle_alpha 90.00
_cell_angle_beta 90.00
_cell_angle_gamma 90.00
_space_group_name_H-M_alt 'C m c 21'
_space_group_IT_number 36
loop_
_space_group_symop_operation_xyz
'x,y,z'
'-x,-y,z+1/2'
'-x,y,z'
'x,-y,z+1/2'
'x+1/2,y+1/2,z'
'-x+1/2,-y+1/2,z+1/2'
'-x+1/2,y+1/2,z'
'x+1/2,-y+1/2,z+1/2'
loop_
_atom_site_label
_atom_site_type_symbol
_atom_site_fract_x
_atom_site_fract_y
_atom_site_fract_z
Tb1 Tb 0.000 0.046 0.000
Tb2 Tb 0.000 0.282 0.286
Tb3 Tb 0.165 0.454 0.391
Tb4 Tb 0.248 0.289 0.554
Nd1 Nd 0.000 0.206 0.783
Y1 Y 0.000 0.389 0.854
Y2 Y 0.171 0.109 0.461
# Offset from the most stable computed form (eV/atom): 0.000



11.
# TmPu5Au6 (PBE, relaxed)
data_TmPu5Au6
_cell_length_a 5.163
_cell_length_b 8.014
_cell_length_c 8.128
_cell_angle_alpha 66.00
_cell_angle_beta 72.38
_cell_angle_gamma 71.54
_space_group_name_H-M_alt 'P -1'
_space_group_IT_number 2
loop_
_space_group_symop_operation_xyz
'x,y,z'
'-x,-y,-z'
loop_
_atom_site_label
_atom_site_type_symbol
_atom_site_fract_x
_atom_site_fract_y
_atom_site_fract_z
Tm1 Tm 0.000 0.000 0.000
Pu1 Pu 0.172 0.479 0.175
Pu2 Pu 0.327 0.993 0.354
Pu3 Pu 0.500 0.500 0.500
Au1 Au 0.073 0.248 0.607
Au2 Au 0.238 0.754 0.773
Au3 Au 0.426 0.226 0.923
# Raw total energy (eV per cell): -101.43



12.
# BePC (PBE, relaxed)
data_BePC
_cell_length_a 7.933
_cell_length_b 4.358
_cell_length_c 4.254
_cell_angle_alpha 90.00
_cell_angle_beta 96.72
_cell_angle_gamma 90.00
_space_group_name_H-M_alt 'C 1 2 1'
_space_group_IT_number 5
loop_
_space_group_symop_operation_xyz
'x,y,z'
'-x,y,-z'
'x+1/2,y+1/2,z'
'-x+1/2,y+1/2,-z'
loop_
_atom_site_label
_atom_site_type_symbol
_atom_site_fract_x
_atom_site_fract_y
_atom_site_fract_z
Be1 Be 0.171 0.000 0.048
P1 P 0.129 0.343 0.404
C1 C 0.240 0.669 0.266
# Offset from the most stable computed form (eV/atom): 0.067



13.
# Y2Sn2Ge (PBE, relaxed)
data_Y2Sn2Ge
_cell_length_a 7.694
_cell_length_b 7.694
_cell_length_c 4.451
_cell_angle_alpha 90.00
_cell_angle_beta 90.00
_cell_angle_gamma 90.00
_space_group_name_H-M_alt 'P 4/m b m'
_space_group_IT_number 127
_space_group_name_Hall '-P 4 2ab'
loop_
_atom_site_label
_atom_site_type_symbol
_atom_site_fract_x
_atom_site_fract_y
_atom_site_fract_z
Y1 Y 0.174 0.326 0.000
Sn1 Sn 0.132 0.632 0.500
Ge1 Ge 0.000 0.000 0.500
# Offset from the most stable computed form (eV/atom): 0.000